# Ni3AgBr, optimized geometry, DFT PBE
data_Ni3AgBr
_chemical_formula_sum 'Ni3 Ag1 Br1'
_space_group_name_H-M_alt 'P m -3 m'
_space_group_IT_number 221
_space_group_name_Hall '-P 4 2 3'
_cell_length_a 4.358
_cell_length_b 4.358
_cell_length_c 4.358
_cell_angle_alpha 90.00
_cell_angle_beta 90.00
_cell_angle_gamma 90.00
loop_
_atom_site_label
_atom_site_type_symbol
_atom_site_fract_x
_atom_site_fract_y
_atom_site_fract_z
Ni1 Ni 0.000 0.000 0.500
Ag1 Ag 0.500 0.500 0.500
Br1 Br 0.000 0.000 0.000
# magnetic moment	0.00	μB/f.u.
# E above lowest polymorph	0	meV/atom
# energy	-3.62	eV per atom
# uncorrected formation energy	0.758	eV/atom